Record 1
# Sr2YIn

A geometry-optimized Sr2YIn structure (PBE-GGA, the Alexandria database).

a = 12.081 Å, b = 12.081 Å, c = 12.081 Å
α = 18.46°, β = 18.46°, γ = 18.46°
Fractional positions:
In1 0.750 0.750 0.750
Y1 0.250 0.250 0.250
Sr1 0.492 0.492 0.492
Sr2 0.008 0.008 0.008

Properties
* Fermi-level density of states: 5.04 states/eV/cell
* energy of formation from the pure elements: 0.06 eV/f.u.
* DFT total energy: -12.5 eV/cell
* space group: R-3m, No. 166


Record 2
# Hf3SiMo

A geometry-optimized Hf3SiMo structure (PBE-GGA, the Alexandria database).

a = 4.957 Å, b = 4.957 Å, c = 4.957 Å
α = 90.00°, β = 90.00°, γ = 90.00°
Fractional positions:
Hf1 0.000 0.000 0.500
Hf2 0.000 0.500 0.000
Hf3 0.500 0.000 0.000
Mo1 0.000 0.000 0.000
Si1 0.500 0.500 0.500

Properties
* Fermi-level density of states: 7.69 states/eV/cell
* DFT total energy: -41.4 eV/cell
* space group: Pm-3m, No. 221
* formation energy without anion corrections: 943 meV/atom


Q: The lowest DFT total energy belongs to which entry?
A: Hf3SiMo


Q: Which value of DFT total energy does entry 1 give?
A: -12.5 eV/cell


Q: Among the records above, which one has the lowest DFT total energy?
A: Hf3SiMo


Please write out number 1 again, unchanged.
# Sr2YIn

A geometry-optimized Sr2YIn structure (PBE-GGA, the Alexandria database).

a = 12.081 Å, b = 12.081 Å, c = 12.081 Å
α = 18.46°, β = 18.46°, γ = 18.46°
Fractional positions:
In1 0.750 0.750 0.750
Y1 0.250 0.250 0.250
Sr1 0.492 0.492 0.492
Sr2 0.008 0.008 0.008

Properties
* Fermi-level density of states: 5.04 states/eV/cell
* energy of formation from the pure elements: 0.06 eV/f.u.
* DFT total energy: -12.5 eV/cell
* space group: R-3m, No. 166